{
  "formula": "MnBeNi6",
  "functional": "PBE-GGA",
  "state": "relaxed",
  "formation_enthalpy_0k_ev_per_atom": -0.1319,
  "polymorph_energy_ev_per_atom": 0.003,
  "dos_at_fermi_per_ev_cell": 31.90,
  "lattice": [[3.475, -4.963, 0.000], [3.475, 4.963, 0.000], [0.000, 0.000, 9.929]],
  "species": ["Mn", "Mn", "Mn", "Mn", "Be", "Be", "Be", "Be", "Ni", "Ni", "Ni", "Ni", "Ni", "Ni", "Ni", "Ni", "Ni", "Ni", "Ni", "Ni", "Ni", "Ni", "Ni", "Ni", "Ni", "Ni", "Ni", "Ni", "Ni", "Ni", "Ni", "Ni"],
  "fractional_positions": [[0.000, 0.000, 0.247], [0.000, 0.000, 0.753], [0.246, 0.754, 0.500], [0.754, 0.246, 0.500], [0.243, 0.757, 0.000], [0.500, 0.500, 0.246], [0.500, 0.500, 0.754], [0.757, 0.243, 0.000], [0.000, 0.000, 0.000], [0.000, 0.000, 0.500], [0.129, 0.383, 0.121], [0.129, 0.383, 0.879], [0.133, 0.380, 0.371], [0.133, 0.380, 0.629], [0.251, 0.749, 0.243], [0.251, 0.749, 0.757], [0.380, 0.133, 0.371], [0.380, 0.133, 0.629], [0.383, 0.129, 0.121], [0.383, 0.129, 0.879], [0.500, 0.500, 0.000], [0.500, 0.500, 0.500], [0.617, 0.871, 0.121], [0.617, 0.871, 0.879], [0.620, 0.867, 0.371], [0.620, 0.867, 0.629], [0.749, 0.251, 0.243], [0.749, 0.251, 0.757], [0.867, 0.620, 0.371], [0.867, 0.620, 0.629], [0.871, 0.617, 0.121], [0.871, 0.617, 0.879]]
}